Entry from the Alexandria database: an optimized crystal structure of PmEuTh (PBE).

extended XYZ file:
```
3
Lattice="3.653 0.000 0.000 -1.826 3.163 0.000 0.000 0.000 9.099" Properties=species:S:1:pos:R:3 pbc="T T T"
Pm 0.000 0.000 0.000
Eu 1.826 1.054 3.250
Th 0.000 2.109 6.269
```

## Properties
* total magnetic moment: 7.8 μB per formula unit
* formation energy: 79 meV/atom
* DFT total energy: -0.5440 Ry/atom
* energy above the lowest structure with this stoichiometry: 0.000 eV/atom
* V: 35.0 Å³ per atom